1.
Tb2As4PtRh3 | PBE | optimized geometry

a = 4.258 Å, b = 4.258 Å, c = 10.091 Å
α = 90.00°, β = 90.00°, γ = 90.00°
Positions (direct):
Tb 0.500 0.000 0.250
Tb 0.000 0.500 0.750
Rh 0.500 0.000 0.877
Rh 0.000 0.500 0.123
Rh 0.000 0.000 0.500
As 0.000 0.500 0.359
As 0.500 0.000 0.641
As 0.000 0.000 0.000
As 0.500 0.500 0.000
Pt 0.500 0.500 0.500

Output
crystal system = tetragonal
SG = P-4m2, No. 115

=====

2.
TiV4Cr | PBE | optimized geometry

a = 4.376 Å, b = 5.232 Å, c = 7.762 Å
α = 67.39°, β = 90.00°, γ = 90.00°
Positions (direct):
V 0.250 0.282 0.088
V 0.750 0.718 0.912
V 0.750 0.202 0.921
V 0.250 0.965 0.402
V 0.750 0.035 0.598
V 0.750 0.554 0.566
V 0.250 0.798 0.079
V 0.250 0.446 0.434
Ti 0.750 0.374 0.254
Ti 0.250 0.626 0.746
Cr 0.750 0.877 0.245
Cr 0.250 0.123 0.755

Output
crystal system = monoclinic
distance to the lowest polymorph of the same formula = 5.7 meV/atom
SG = P2_1/m, No. 11

=====

One value per record, in order, for mass density: 10.18, 6.15 g cm⁻³.
One value per record, in order, for formation energy: -0.855, 0.031 eV per atom.